(1)
A relaxed structure of SrErHg2, computed with GGA-PBE.

a b c (Å): 3.8250 3.8250 7.7177
angles (deg): 90.00 90.00 90.00
Space group P4/mmm (No. 123)
Unique sites:
Sr 0.0000 0.0000 0.0000 [1 per cell]
Er 0.0000 0.0000 0.5000 [1 per cell]
Hg 0.5000 0.5000 0.2823 [2 per cell]

## Properties
M_tot, Bohr magnetons per cell: 0.00
Density, g cm⁻³: 9.648
VASP energy, eV/atom: -2.212



(2)
A relaxed structure of SrErHg3, computed with GGA-PBE.

a b c (Å): 3.8204 29.5427 4.9319
angles (deg): 90.00 90.00 90.00
Space group Cmcm (No. 63)
Unique sites:
Sr 0.0000 0.0784 0.2500 [4 per cell]
Er 0.0000 0.2100 0.7500 [4 per cell]
Hg 0.0000 0.3125 0.7500 [4 per cell]
Hg 0.0000 0.3736 0.2500 [4 per cell]
Hg 0.0000 0.4735 0.2500 [4 per cell]

## Properties
M_tot, Bohr magnetons per cell: 0.00
Density, g cm⁻³: 10.222
VASP energy, eV/atom: -1.884



(3)
A relaxed structure of SrEr2Hg9, computed with GGA-PBE.

a b c (Å): 4.7332 4.7332 13.6821
angles (deg): 90.00 90.00 90.00
Space group P4/mmm (No. 123)
Unique sites:
Sr 0.0000 0.0000 0.0000 [1 per cell]
Er 0.0000 0.0000 0.3427 [2 per cell]
Hg 0.0000 0.5000 0.1821 [4 per cell]
Hg 0.0000 0.5000 0.5000 [2 per cell]
Hg 0.5000 0.5000 0.0000 [1 per cell]
Hg 0.5000 0.5000 0.3446 [2 per cell]

## Properties
M_tot, Bohr magnetons per cell: 0.00
Density, g cm⁻³: 12.067
VASP energy, eV/atom: -1.444



(4)
A relaxed structure of Sr2ErHg4, computed with GGA-PBE.

a b c (Å): 5.4870 5.4870 14.3451
angles (deg): 90.00 90.00 90.00
Space group I4/mmm (No. 139)
Unique sites:
Sr 0.0000 0.0000 0.2346 [4 per cell]
Er 0.0000 0.0000 0.5000 [2 per cell]
Hg 0.0000 0.5000 0.1071 [8 per cell]

## Properties
M_tot, Bohr magnetons per cell: 0.00
Density, g cm⁻³: 8.803
VASP energy, eV/atom: -1.682



(5)
A relaxed structure of SrErHg2, computed with GGA-PBE.

a b c (Å): 4.0028 4.0028 27.0523
angles (deg): 90.00 90.00 120.00
Space group R3m (No. 160, hexagonal axes)
Unique sites:
Sr 0.0000 0.0000 0.0000 [3 per cell]
Er 0.0000 0.0000 0.1659 [3 per cell]
Hg 0.0000 0.0000 0.5752 [3 per cell]
Hg 0.0000 0.0000 0.7574 [3 per cell]

## Properties
M_tot, Bohr magnetons per cell: 0.00
Density, g cm⁻³: 8.706
VASP energy, eV/atom: -2.053



(6)
A relaxed structure of SrErTlHg, computed with GGA-PBE.

a b c (Å): 7.7651 7.7651 7.7651
angles (deg): 90.00 90.00 90.00
Space group F-43m (No. 216)
Unique sites:
Sr 0.0000 0.0000 0.0000 [4 per cell]
Er 0.0000 0.0000 0.5000 [4 per cell]
Tl 0.2500 0.2500 0.2500 [4 per cell]
Hg 0.2500 0.2500 0.7500 [4 per cell]

## Properties
M_tot, Bohr magnetons per cell: 0.00
Density, g cm⁻³: 9.361
VASP energy, eV/atom: -2.616



ΔE_f: -499.9, -453.9, -317.0, -377.3, -341.3, -387.3 (meV per atom)